{
  "formula": "BaTa3Sb",
  "functional": "GGA-PBEsol",
  "state": "relaxed",
  "e_form_raw_ev_per_atom": 2.817,
  "energy_ev_per_cell": -30.3,
  "magmom_total_mub_per_atom": 0.00,
  "lattice_angstrom": [[-3.470, -3.224, 1.755], [0.518, -2.821, -4.158], [3.634, -2.677, 2.269]],
  "species": ["Sb", "Ba", "Ta", "Ta", "Ta"],
  "frac_coords": [[0.500, 0.500, 0.500], [0.000, 0.000, 0.000], [0.000, 0.500, 0.000], [0.000, 0.000, 0.500], [0.500, 0.000, 0.000]]
}

{
  "formula": "BaTaSb2",
  "functional": "GGA-PBEsol",
  "state": "relaxed",
  "de_polymorph_mev_per_atom": 230,
  "e_form_raw_ev_per_atom": 0.251,
  "energy_ev_per_cell": -22.8,
  "magmom_total_mub_per_atom": 0.15,
  "lattice_angstrom": [[-0.795, 2.610, -1.677], [2.656, -2.127, -4.569], [-4.838, -2.525, -1.637]],
  "species": ["Ba", "Sb", "Sb", "Ta"],
  "frac_coords": [[0.500, 0.000, 0.000], [0.000, 0.000, 0.500], [0.000, 0.500, 0.000], [0.500, 0.500, 0.500]]
}

{
  "formula": "BaTaSb4",
  "functional": "GGA-PBEsol",
  "state": "relaxed",
  "e_form_raw_ev_per_atom": 0.467,
  "energy_ev_per_cell": -30.1,
  "magmom_total_mub_per_atom": 0.39,
  "lattice_angstrom": [[6.220, 0.000, 0.000], [3.110, 5.387, 0.000], [3.110, 1.796, 5.079]],
  "species": ["Ba", "Sb", "Sb", "Sb", "Sb", "Ta"],
  "frac_coords": [[0.000, 0.000, 0.000], [0.377, 0.377, 0.377], [0.377, 0.377, 0.870], [0.870, 0.377, 0.377], [0.377, 0.870, 0.377], [0.750, 0.750, 0.750]]
}

{
  "formula": "BaTa2Sb2",
  "functional": "GGA-PBEsol",
  "state": "relaxed",
  "e_form_raw_ev_per_atom": 0.049,
  "energy_ev_per_cell": -36.1,
  "magmom_total_mub_per_atom": 0.00,
  "lattice_angstrom": [[5.303, 0.000, 0.000], [-2.651, 5.368, 0.020], [0.000, 2.602, 4.620]],
  "species": ["Sb", "Sb", "Ba", "Ta", "Ta"],
  "frac_coords": [[0.750, 0.500, 0.750], [0.250, 0.500, 0.250], [0.000, 0.000, 0.000], [0.633, 0.265, 0.367], [0.367, 0.735, 0.633]]
}

{
  "formula": "BaTaSb2",
  "functional": "GGA-PBEsol",
  "state": "relaxed",
  "de_polymorph_mev_per_atom": 0,
  "e_form_raw_ev_per_atom": 0.021,
  "energy_ev_per_cell": -23.7,
  "magmom_total_mub_per_atom": 0.11,
  "lattice_angstrom": [[-2.013, 2.859, 0.948], [-5.959, -1.825, -0.230], [-2.810, -1.464, 5.372]],
  "species": ["Ba", "Sb", "Sb", "Ta"],
  "frac_coords": [[0.000, 0.500, 0.500], [0.206, 0.794, 0.794], [0.794, 0.206, 0.206], [0.500, 0.000, 0.000]]
}

{
  "formula": "BaTc2Sb",
  "functional": "GGA-PBEsol",
  "state": "relaxed",
  "e_form_raw_ev_per_atom": 0.172,
  "energy_ev_per_cell": -28.6,
  "magmom_total_mub_per_atom": 0.00,
  "lattice_angstrom": [[-1.959, -0.363, 4.114], [1.616, -3.002, 3.044], [3.571, 3.012, 4.505]],
  "species": ["Ba", "Sb", "Tc", "Tc"],
  "frac_coords": [[0.500, 0.500, 0.500], [0.000, 0.000, 0.000], [0.324, 0.324, 0.027], [0.676, 0.676, 0.973]]
}

Copy entry 3 word for word.
{
  "formula": "BaTaSb4",
  "functional": "GGA-PBEsol",
  "state": "relaxed",
  "e_form_raw_ev_per_atom": 0.467,
  "energy_ev_per_cell": -30.1,
  "magmom_total_mub_per_atom": 0.39,
  "lattice_angstrom": [[6.220, 0.000, 0.000], [3.110, 5.387, 0.000], [3.110, 1.796, 5.079]],
  "species": ["Ba", "Sb", "Sb", "Sb", "Sb", "Ta"],
  "frac_coords": [[0.000, 0.000, 0.000], [0.377, 0.377, 0.377], [0.377, 0.377, 0.870], [0.870, 0.377, 0.377], [0.377, 0.870, 0.377], [0.750, 0.750, 0.750]]
}